# Be2TeBr, PBEsol geometry, DFT meta-GGA SCAN
# Calculated volume in Å³/cell: 220
# Formation energy without anion corrections in eV/atom: 0.1648
# Relative energy among the computed polymorphs in eV/f.u.: 0.34
# Final energy in eV/atom: -16.19
data_Be2TeBr
_chemical_formula_sum 'Be6 Te3 Br3'
_space_group_name_H-M_alt 'R -3 m'
_space_group_IT_number 166
_space_group_name_Hall '-R 3 2"'
_cell_length_a 3.7402
_cell_length_b 3.7402
_cell_length_c 18.1989
_cell_angle_alpha 90.00
_cell_angle_beta 90.00
_cell_angle_gamma 120.00
loop_
_atom_site_label
_atom_site_type_symbol
_atom_site_fract_x
_atom_site_fract_y
_atom_site_fract_z
Be1 Be 0.0000 0.0000 0.2425
Te1 Te 0.0000 0.0000 0.5000
Br1 Br 0.0000 0.0000 0.0000